Record 1
Compound: LiMg2InBr6
Source: the Alexandria database
Functional: PBE
Structure: optimized geometry

Structure (POSCAR):
```
LiMg2InBr6
1.0
-1.054 7.495 2.196
-6.904 -0.403 7.169
6.904 1.588 7.002
In Br Mg Li
2 12 4 2
direct
0.750 0.122 0.878
0.250 0.878 0.122
0.034 0.693 0.573
0.057 0.618 0.148
0.534 0.573 0.693
0.557 0.148 0.618
0.184 0.957 0.802
0.443 0.852 0.382
0.966 0.307 0.427
0.943 0.382 0.852
0.316 0.198 0.043
0.466 0.427 0.307
0.684 0.802 0.957
0.816 0.043 0.198
0.192 0.388 0.234
0.692 0.234 0.388
0.808 0.612 0.766
0.308 0.766 0.612
0.750 0.796 0.204
0.250 0.204 0.796
```

## Properties
**Calculated total energy**: -3.063 eV/atom
**Space group**: C2/c (15)
**Fermi-level density of states**: 0.000 states/eV/atom


Record 2
Compound: HgP2
Source: the Alexandria database
Functional: PBE
Structure: optimized geometry

Structure (POSCAR):
```
HgP2
1.0
4.517 0.000 0.000
2.259 3.912 0.000
2.259 1.304 3.688
P Hg
2 1
direct
0.250 0.250 0.250
0.750 0.750 0.750
0.000 0.000 0.000
```

## Properties
**ΔE_f**: 0.89 eV/atom
**Space group**: Fm-3m (225)
**Fermi-level density of states**: 0.392 states/eV/atom


Record 3
Compound: AlCu2Sb
Source: the Alexandria database
Functional: PBE
Structure: optimized geometry

Structure (POSCAR):
```
AlCu2Sb
1.0
4.374 0.013 0.002
3.261 2.915 0.002
1.036 0.397 5.330
Sb Cu Al
1 2 1
direct
0.750 0.750 0.750
0.509 0.509 0.441
0.991 0.991 0.059
0.250 0.250 0.250
```

## Properties
**Calculated total energy**: -3.982 eV/atom
**Space group**: C2/m (12)
**Fermi-level density of states**: 0.247 states/eV/atom


Record 4
Compound: K2NaHgAu
Source: the Alexandria database
Functional: PBE
Structure: optimized geometry

Structure (POSCAR):
```
K2NaHgAu
1.0
4.855 0.000 0.000
0.000 4.855 0.000
0.000 0.000 16.411
Na K Hg Au
2 4 2 2
direct
0.000 0.000 0.500
0.500 0.500 0.500
0.500 0.000 0.897
0.500 0.000 0.299
0.000 0.500 0.103
0.000 0.500 0.701
0.000 0.500 0.368
0.500 0.000 0.632
0.500 0.000 0.101
0.000 0.500 0.899
```

## Properties
**ΔE_f**: -0.21 eV/atom
**Space group**: P4/nmm (129)
**Fermi-level density of states**: 0.261 states/eV/atom


Record 5
Compound: Ce3RuCl3
Source: the Alexandria database
Functional: PBE
Structure: optimized geometry

Structure (POSCAR):
```
Ce3RuCl3
1.0
4.034 0.000 0.000
0.000 8.612 -0.503
0.000 -0.087 11.595
Ce Cl Ru
6 6 2
direct
0.250 0.868 0.142
0.750 0.132 0.858
0.250 0.895 0.618
0.750 0.659 0.373
0.750 0.105 0.382
0.250 0.341 0.627
0.750 0.630 0.122
0.250 0.887 0.883
0.750 0.614 0.627
0.250 0.370 0.878
0.750 0.113 0.117
0.250 0.386 0.373
0.750 0.122 0.626
0.250 0.878 0.374
```

## Properties
**Calculated total energy**: -6.041 eV/atom
**Space group**: P2_1/m (11)
**Fermi-level density of states**: 2.505 states/eV/atom


Record 6
Compound: Na3Ga8Pd3
Source: the Alexandria database
Functional: PBE
Structure: optimized geometry

Structure (POSCAR):
```
Na3Ga8Pd3
1.0
-3.007 -2.295 -2.108
4.240 -5.194 -4.843
0.079 -7.464 3.563
Ga Na Pd
8 3 3
direct
0.382 0.334 0.902
0.821 0.539 0.819
0.179 0.181 0.461
0.618 0.098 0.666
0.821 0.819 0.539
0.618 0.666 0.098
0.382 0.902 0.334
0.179 0.461 0.181
0.827 0.173 0.173
0.500 0.500 0.500
0.173 0.827 0.827
0.000 0.769 0.231
0.000 0.231 0.769
0.500 0.000 0.000
```

## Properties
**ΔE_f**: -0.32 eV/atom
**Space group**: Immm (71)
**Fermi-level density of states**: 0.370 states/eV/atom


Record 7
Compound: Mg2MoAs
Source: the Alexandria database
Functional: PBE
Structure: optimized geometry

Structure (POSCAR):
```
Mg2MoAs
1.0
2.987 -0.002 0.000
-0.978 2.823 0.000
0.000 0.000 9.034
As Mo Mg
1 1 2
direct
0.500 0.500 0.721
0.000 0.000 0.519
0.000 0.000 0.989
0.500 0.500 0.271
```

## Properties
**ΔE_f**: 0.13 eV/atom
**Space group**: Cmm2 (35)
**Fermi-level density of states**: 0.488 states/eV/atom


Record 8
Compound: DyHo3Ga2
Source: the Alexandria database
Functional: PBE
Structure: optimized geometry

Structure (POSCAR):
```
DyHo3Ga2
1.0
-0.986 -3.343 -3.635
4.273 -4.568 6.530
-8.546 2.236 0.262
Ho Ga Dy
6 4 2
direct
0.938 0.876 0.593
0.687 0.375 0.381
0.062 0.124 0.407
0.313 0.625 0.619
0.622 0.244 0.731
0.378 0.756 0.269
0.516 0.031 0.880
0.227 0.455 0.841
0.484 0.969 0.120
0.773 0.545 0.159
0.129 0.258 0.069
0.871 0.742 0.931
```

## Properties
**ΔE_f**: -0.33 eV/atom
**Space group**: C2/m (12)
**Fermi-level density of states**: 0.847 states/eV/atom


Record 9
Compound: Nd4Ag5Rh2
Source: the Alexandria database
Functional: PBE
Structure: optimized geometry

Structure (POSCAR):
```
Nd4Ag5Rh2
1.0
-1.405 -0.600 3.525
-0.686 -7.331 -1.521
8.512 -0.727 3.269
Rh Nd Ag
2 4 5
direct
0.000 0.927 0.353
0.000 0.073 0.647
0.500 0.810 0.143
0.500 0.229 0.435
0.500 0.771 0.565
0.500 0.190 0.857
0.000 0.500 0.000
0.000 0.459 0.678
0.000 0.819 0.856
0.000 0.181 0.144
0.000 0.541 0.322
```

## Properties
**ΔE_f**: -0.39 eV/atom
**Space group**: P2/m (10)
**Fermi-level density of states**: 0.439 states/eV/atom


Record 10
Compound: PrNdScCu
Source: the Alexandria database
Functional: PBE
Structure: optimized geometry

Structure (POSCAR):
```
PrNdScCu
1.0
5.305 0.000 0.000
2.653 4.594 0.000
2.653 1.531 4.332
Cu Pr Nd Sc
1 1 1 1
direct
0.250 0.250 0.250
0.500 0.500 0.500
0.000 0.000 0.000
0.750 0.750 0.750
```

## Properties
**ΔE_f**: 0.15 eV/atom
**Space group**: F-43m (216)
**Fermi-level density of states**: 1.034 states/eV/atom


Record 11
Compound: LiHfB2
Source: the Alexandria database
Functional: PBE
Structure: optimized geometry

Structure (POSCAR):
```
LiHfB2
1.0
0.000 2.814 2.814
2.814 0.000 2.814
2.814 2.814 0.000
Hf B Li
1 2 1
direct
0.500 0.500 0.500
0.750 0.750 0.750
0.250 0.250 0.250
0.000 0.000 0.000
```

## Properties
**ΔE_f**: 0.25 eV/atom
**Space group**: Fm-3m (225)
**Fermi-level density of states**: 0.377 states/eV/atom


Record 12
Compound: Tl4Hg3N4
Source: the Alexandria database
Functional: PBE
Structure: optimized geometry

Structure (POSCAR):
```
Tl4Hg3N4
1.0
3.713 0.000 -1.076
-0.609 8.046 -2.100
0.551 -0.948 8.843
N Hg Tl
4 3 4
direct
0.327 0.568 0.655
0.427 0.063 0.854
0.573 0.937 0.146
0.673 0.432 0.345
0.873 0.128 0.746
0.000 0.500 0.000
0.127 0.872 0.254
0.563 0.207 0.126
0.204 0.620 0.409
0.437 0.793 0.874
0.796 0.380 0.591
```

## Properties
**Calculated total energy**: -3.122 eV/atom
**Space group**: C2/m (12)
**Fermi-level density of states**: 0.056 states/eV/atom


Please write out number 12 again, unchanged.
Compound: Tl4Hg3N4
Source: the Alexandria database
Functional: PBE
Structure: optimized geometry

Structure (POSCAR):
```
Tl4Hg3N4
1.0
3.713 0.000 -1.076
-0.609 8.046 -2.100
0.551 -0.948 8.843
N Hg Tl
4 3 4
direct
0.327 0.568 0.655
0.427 0.063 0.854
0.573 0.937 0.146
0.673 0.432 0.345
0.873 0.128 0.746
0.000 0.500 0.000
0.127 0.872 0.254
0.563 0.207 0.126
0.204 0.620 0.409
0.437 0.793 0.874
0.796 0.380 0.591
```

## Properties
**Calculated total energy**: -3.122 eV/atom
**Space group**: C2/m (12)
**Fermi-level density of states**: 0.056 states/eV/atom


- Which of these has the highest Fermi-level density of states?
  Ce3RuCl3


- Look up the Fermi-level density of states of the fifth one.
  2.505 states/eV/atom


- Which of these has the lowest Fermi-level density of states?
  LiMg2InBr6